[1]
VASP calculation (PBE) on a relaxed VTcAs2Br crystal.

Lattice parameters (Å, degrees): 4.7495 4.7495 5.1415 90.00 90.00 90.00
Space group P4/mmm (No. 123)
Inequivalent atoms, fractional coordinates:
V (0.0000, 0.0000, 0.0000) [1 per cell]
Tc (0.5000, 0.5000, 0.5000) [1 per cell]
As (0.0000, 0.5000, 0.0000) [2 per cell]
Br (0.0000, 0.0000, 0.5000) [1 per cell]

E_form (uncorrected): 0.825 eV per atom
density: 5.422 g/cm³
energy: -5.266 eV per atom



[2]
VASP calculation (PBE) on a relaxed LaNbCr crystal.

Lattice parameters (Å, degrees): 4.7572 4.7575 6.2373 90.41 90.53 96.31
Space group P-1 (No. 2)
Inequivalent atoms, fractional coordinates:
La (0.2485, 0.2485, 0.1252) [2 per cell]
Nb (0.2200, 0.7794, 0.5003) [2 per cell]
Cr (0.2980, 0.2972, 0.6407) [2 per cell]

formation energy from the elements: 390 meV per atom
density: 6.718 g/cm³
energy: -7.817 eV per atom



[3]
VASP calculation (PBE) on a relaxed MgMnNi2 crystal.

Lattice parameters (Å, degrees): 2.5783 2.5783 7.3947 90.00 90.00 90.00
Space group P4mm (No. 99)
Inequivalent atoms, fractional coordinates:
Mg (0.0000, 0.0000, 0.0000) [1 per cell]
Mn (0.5000, 0.5000, 0.2870) [1 per cell]
Ni (0.0000, 0.0000, 0.5045) [1 per cell]
Ni (0.5000, 0.5000, 0.7356) [1 per cell]

formation energy from the elements: 161 meV per atom
density: 6.642 g/cm³
energy: -5.421 eV per atom